(1)
# NdAl6Ni4 (PBE, relaxed)
# **Total moment**: 0.000 μB per formula unit
# **ΔE_f**: -0.590 eV/atom
# **N(E_F)**: 6.14 states/eV/f.u.
data_NdAl6Ni4
_chemical_formula_sum 'Nd1 Al6 Ni4'
_space_group_name_H-M_alt 'P -6 m 2'
_space_group_IT_number 187
_space_group_name_Hall 'P -6 2'
_cell_length_a 6.9553
_cell_length_b 6.9553
_cell_length_c 3.9617
_cell_angle_alpha 90.00
_cell_angle_beta 90.00
_cell_angle_gamma 120.00
loop_
_atom_site_label
_atom_site_type_symbol
_atom_site_fract_x
_atom_site_fract_y
_atom_site_fract_z
Nd1 Nd 0.0000 0.0000 0.0000
Al1 Al 0.2015 0.4029 0.5000
Al2 Al 0.5332 0.0664 0.0000
Ni1 Ni 0.3333 0.6667 0.0000
Ni2 Ni 0.4194 0.2097 0.5000

=====

(2)
# Ti2ReSn2 (PBE, relaxed)
# **Total moment**: 0.000 μB per formula unit
# **ΔE_f**: 0.070 eV/atom
# **N(E_F)**: 4.58 states/eV/f.u.
data_Ti2ReSn2
_chemical_formula_sum 'Ti4 Re2 Sn4'
_space_group_name_H-M_alt 'P 4/m b m'
_space_group_IT_number 127
_space_group_name_Hall '-P 4 2ab'
_cell_length_a 7.040
_cell_length_b 7.040
_cell_length_c 3.765
_cell_angle_alpha 90.00
_cell_angle_beta 90.00
_cell_angle_gamma 90.00
loop_
_atom_site_label
_atom_site_type_symbol
_atom_site_fract_x
_atom_site_fract_y
_atom_site_fract_z
Ti1 Ti 0.162 0.338 0.000
Re1 Re 0.000 0.000 0.500
Sn1 Sn 0.142 0.642 0.500

=====

(3)
# Tm2ZrScSb4 (PBE, relaxed)
# **Total moment**: 0.000 μB per formula unit
# **Formation energy (no corrections)**: -916 meV per atom
# **N(E_F)**: 1.57 states/eV/f.u.
data_Tm2ZrScSb4
_chemical_formula_sum 'Tm2 Zr1 Sc1 Sb4'
_space_group_name_H-M_alt 'P 1 2/m 1'
_space_group_IT_number 10
_cell_length_a 7.328
_cell_length_b 4.231
_cell_length_c 7.350
_cell_angle_alpha 90.00
_cell_angle_beta 109.30
_cell_angle_gamma 90.00
loop_
_space_group_symop_operation_xyz
'x,y,z'
'-x,-y,-z'
'-x,y,-z'
'x,-y,z'
loop_
_atom_site_label
_atom_site_type_symbol
_atom_site_fract_x
_atom_site_fract_y
_atom_site_fract_z
Tm1 Tm 0.000 0.000 0.000
Tm2 Tm 0.500 0.500 0.000
Zr1 Zr 0.000 0.500 0.500
Sc1 Sc 0.500 0.000 0.500
Sb1 Sb 0.247 0.000 0.740
Sb2 Sb 0.254 0.500 0.261

=====

(4)
# AlReAs (PBE, relaxed)
# **Total moment**: 0.000 μB per formula unit
# **ΔE_f**: 0.333 eV/atom
# **ΔE to the lowest computed polymorph**: 362 meV/atom
# **N(E_F)**: 2.00 states/eV/f.u.
data_AlReAs
_chemical_formula_sum 'Al4 Re4 As4'
_space_group_name_H-M_alt 'F m m 2'
_space_group_IT_number 42
_space_group_name_Hall 'F 2 -2'
_cell_length_a 3.070
_cell_length_b 4.904
_cell_length_c 13.009
_cell_angle_alpha 90.00
_cell_angle_beta 90.00
_cell_angle_gamma 90.00
loop_
_atom_site_label
_atom_site_type_symbol
_atom_site_fract_x
_atom_site_fract_y
_atom_site_fract_z
Al1 Al 0.000 0.000 0.000
Re1 Re 0.000 0.000 0.339
As1 As 0.000 0.000 0.685

=====

(5)
# Hf5As2C (PBE, relaxed)
# **Total moment**: 0.000 μB per formula unit
# **ΔE_f**: -0.305 eV/atom
# **N(E_F)**: 6.35 states/eV/f.u.
data_Hf5As2C
_chemical_formula_sum 'Hf20 As8 C4'
_space_group_name_H-M_alt 'C m c m'
_space_group_IT_number 63
_space_group_name_Hall '-C 2c 2'
_cell_length_a 4.458
_cell_length_b 13.690
_cell_length_c 11.528
_cell_angle_alpha 90.00
_cell_angle_beta 90.00
_cell_angle_gamma 90.00
loop_
_atom_site_label
_atom_site_type_symbol
_atom_site_fract_x
_atom_site_fract_y
_atom_site_fract_z
Hf1 Hf 0.000 0.099 0.116
Hf2 Hf 0.000 0.267 0.750
Hf3 Hf 0.000 0.309 0.063
As1 As 0.000 0.096 0.622
C1 C 0.000 0.216 0.250

=====

(6)
# NaSrY2S4 (PBE, relaxed)
# **Total moment**: 0.000 μB per formula unit
# **Formation energy (no corrections)**: -1886 meV per atom
# **N(E_F)**: 2.34 states/eV/f.u.
data_NaSrY2S4
_chemical_formula_sum 'Na2 Sr2 Y4 S8'
_space_group_name_H-M_alt 'I 4/m m m'
_space_group_IT_number 139
_space_group_name_Hall '-I 4 2'
_cell_length_a 5.705
_cell_length_b 5.705
_cell_length_c 11.285
_cell_angle_alpha 90.00
_cell_angle_beta 90.00
_cell_angle_gamma 90.00
loop_
_atom_site_label
_atom_site_type_symbol
_atom_site_fract_x
_atom_site_fract_y
_atom_site_fract_z
Na1 Na 0.000 0.000 0.000
Sr1 Sr 0.000 0.000 0.500
Y1 Y 0.000 0.500 0.250
S1 S 0.000 0.000 0.245
S2 S 0.000 0.500 0.000

=====

> Which of these has the highest N(E_F)?

Hf5As2C

=====

Copy entry 2 word for word.
# Ti2ReSn2 (PBE, relaxed)
# **Total moment**: 0.000 μB per formula unit
# **ΔE_f**: 0.070 eV/atom
# **N(E_F)**: 4.58 states/eV/f.u.
data_Ti2ReSn2
_chemical_formula_sum 'Ti4 Re2 Sn4'
_space_group_name_H-M_alt 'P 4/m b m'
_space_group_IT_number 127
_space_group_name_Hall '-P 4 2ab'
_cell_length_a 7.040
_cell_length_b 7.040
_cell_length_c 3.765
_cell_angle_alpha 90.00
_cell_angle_beta 90.00
_cell_angle_gamma 90.00
loop_
_atom_site_label
_atom_site_type_symbol
_atom_site_fract_x
_atom_site_fract_y
_atom_site_fract_z
Ti1 Ti 0.162 0.338 0.000
Re1 Re 0.000 0.000 0.500
Sn1 Sn 0.142 0.642 0.500

=====

What did the fourth record say?
# AlReAs (PBE, relaxed)
# **Total moment**: 0.000 μB per formula unit
# **ΔE_f**: 0.333 eV/atom
# **ΔE to the lowest computed polymorph**: 362 meV/atom
# **N(E_F)**: 2.00 states/eV/f.u.
data_AlReAs
_chemical_formula_sum 'Al4 Re4 As4'
_space_group_name_H-M_alt 'F m m 2'
_space_group_IT_number 42
_space_group_name_Hall 'F 2 -2'
_cell_length_a 3.070
_cell_length_b 4.904
_cell_length_c 13.009
_cell_angle_alpha 90.00
_cell_angle_beta 90.00
_cell_angle_gamma 90.00
loop_
_atom_site_label
_atom_site_type_symbol
_atom_site_fract_x
_atom_site_fract_y
_atom_site_fract_z
Al1 Al 0.000 0.000 0.000
Re1 Re 0.000 0.000 0.339
As1 As 0.000 0.000 0.685

=====

> Among the records above, which one has the lowest N(E_F)?

Tm2ZrScSb4